*A*
DFT (GGA-PBE) results for a relaxed SnTeHC2 crystal.

abc: 4.4387 4.4387 3.6229
angles: 90.00 90.00 90.00
Fractional coordinates of all 5 atoms:
Sn (0.0000, 0.0000, 0.0000)
Te (0.5000, 0.5000, 0.5000)
H (0.0000, 0.0000, 0.5000)
C (0.0000, 0.5000, 0.0000)
C (0.5000, 0.0000, 0.0000)

magnetic moment = 0.0 μB per cell
SG = P4/mmm, No. 123

=====

*B*
DFT (GGA-PBE) results for a relaxed SnTeHC2 crystal.

abc: 4.1436 4.1436 6.1936
angles: 90.00 90.00 90.00
Fractional coordinates of all 5 atoms:
Sn (0.0000, 0.0000, 0.0000)
Te (0.0000, 0.0000, 0.5000)
H (0.5000, 0.5000, 0.0000)
C (0.0000, 0.5000, 0.5000)
C (0.5000, 0.0000, 0.5000)

magnetic moment = 0.0 μB per cell
SG = P4/mmm, No. 123

=====

Referenced to the most stable arrangement, the calculated values in meV/atom are *A* 0; *B* 689.

=====

*A*
DFT (GGA-PBE) results for a relaxed HfHgC3 crystal.

abc: 4.1688 4.1688 4.1688
angles: 90.00 90.00 90.00
Fractional coordinates of all 5 atoms:
Hf (0.0000, 0.0000, 0.0000)
Hg (0.5000, 0.5000, 0.5000)
C (0.0000, 0.5000, 0.5000)
C (0.5000, 0.0000, 0.5000)
C (0.5000, 0.5000, 0.0000)

magnetic moment = 0.0 μB per cell
SG = Pm-3m, No. 221

=====

*B*
DFT (GGA-PBE) results for a relaxed HfHgC3 crystal.

abc: 4.3726 4.3726 4.3726
angles: 90.00 90.00 90.00
Fractional coordinates of all 5 atoms:
Hf (0.0000, 0.0000, 0.0000)
Hg (0.5000, 0.5000, 0.5000)
C (0.0000, 0.0000, 0.5000)
C (0.0000, 0.5000, 0.0000)
C (0.5000, 0.0000, 0.0000)

magnetic moment = 0.0 μB per cell
SG = Pm-3m, No. 221

=====

Referenced to the most stable arrangement, the calculated values in meV/atom are *A* 754; *B* 0.

=====

*A*
DFT (GGA-PBE) results for a relaxed HfHgMoC2 crystal.

abc: 4.1367 4.1367 5.4709
angles: 90.00 90.00 90.00
Fractional coordinates of all 5 atoms:
Hf (0.0000, 0.0000, 0.0000)
Hg (0.0000, 0.0000, 0.5000)
Mo (0.5000, 0.5000, 0.0000)
C (0.0000, 0.5000, 0.5000)
C (0.5000, 0.0000, 0.5000)

magnetic moment = 0.0 μB per cell
SG = P4/mmm, No. 123

=====

*B*
DFT (GGA-PBE) results for a relaxed HfHgMoC2 crystal.

abc: 4.2658 4.2658 5.2554
angles: 90.00 90.00 90.00
Fractional coordinates of all 5 atoms:
Hf (0.0000, 0.0000, 0.0000)
Hg (0.5000, 0.5000, 0.5000)
Mo (0.0000, 0.0000, 0.5000)
C (0.0000, 0.5000, 0.0000)
C (0.5000, 0.0000, 0.0000)

magnetic moment = 0.0 μB per cell
SG = P4/mmm, No. 123

=====

Referenced to the most stable arrangement, the calculated values in meV/atom are *A* 933; *B* 0.

=====

*A*
DFT (GGA-PBE) results for a relaxed HoHfC crystal.

abc: 3.4077 3.4077 5.7379
angles: 90.00 90.00 120.00
Fractional coordinates of all 3 atoms:
Ho (0.0000, 0.0000, 0.0000)
Hf (0.6667, 0.3333, 0.4551)
C (0.3333, 0.6667, 0.2656)

magnetic moment = 0.0 μB per cell
SG = P3m1, No. 156

=====

*B*
DFT (GGA-PBE) results for a relaxed HoHfC crystal.

abc: 6.0195 6.7564 6.0420
angles: 90.00 111.82 90.00
Fractional coordinates of all 12 atoms:
Ho (0.0193, 0.1174, 0.2475)
Ho (0.0193, 0.3826, 0.7475)
Ho (0.9807, 0.6174, 0.2525)
Ho (0.9807, 0.8826, 0.7525)
Hf (0.4923, 0.1294, 0.7750)
Hf (0.4923, 0.3706, 0.2750)
Hf (0.5077, 0.6294, 0.7250)
Hf (0.5077, 0.8706, 0.2250)
C (0.2874, 0.1284, 0.0150)
C (0.2874, 0.3716, 0.5150)
C (0.7126, 0.6284, 0.4850)
C (0.7126, 0.8716, 0.9850)

magnetic moment = 0.0 μB per cell
SG = P2_1/c, No. 14

=====

Referenced to the most stable arrangement, the calculated values in meV/atom are *A* 0; *B* 32.